A plane-wave DFT calculation with PBE was carried out for a relaxed ErAl9Fe4Si6 crystal.

Geometry as CIF:
```
data_ErAl9Fe4Si6
_space_group_name_H-M_alt 'P 1'
_space_group_IT_number 1
_space_group_name_Hall 'P 1'
_cell_length_a 8.6520
_cell_length_b 8.6520
_cell_length_c 15.1462
_cell_angle_alpha 90.00
_cell_angle_beta 90.00
_cell_angle_gamma 90.00
loop_
_atom_site_label
_atom_site_type_symbol
_atom_site_fract_x
_atom_site_fract_y
_atom_site_fract_z
Er1 Er 0.0000 0.5000 0.5861
Er2 Er 0.0000 0.5000 0.0861
Er3 Er 0.5000 0.0000 0.9139
Er4 Er 0.5000 0.0000 0.4139
Al1 Al 0.1829 0.5000 0.4110
Al2 Al 0.7541 0.2024 0.8309
Al3 Al 0.8442 0.0000 0.3977
Al4 Al 0.3171 0.0000 0.0890
Al5 Al 0.2024 0.7541 0.1691
Al6 Al 0.5000 0.3442 0.8977
Al7 Al 0.0000 0.8442 0.6023
Al8 Al 0.1558 0.0000 0.3977
Al9 Al 0.0000 0.0000 0.7731
Al10 Al 0.7459 0.7024 0.6691
Al11 Al 0.2459 0.2024 0.8309
Al12 Al 0.2024 0.2459 0.1691
Al13 Al 0.5000 0.6558 0.8977
Al14 Al 0.2459 0.7976 0.8309
Al15 Al 0.7024 0.7459 0.3309
Al16 Al 0.0000 0.1558 0.6023
Al17 Al 0.5000 0.5000 0.2731
Al18 Al 0.2541 0.2976 0.6691
Al19 Al 0.2976 0.2541 0.3309
Al20 Al 0.2541 0.7024 0.6691
Al21 Al 0.7976 0.2459 0.1691
Al22 Al 0.3442 0.5000 0.1023
Al23 Al 0.7541 0.7976 0.8309
Al24 Al 0.0000 0.6829 0.9110
Al25 Al 0.8171 0.5000 0.4110
Al26 Al 0.5000 0.5000 0.7269
Al27 Al 0.0000 0.0000 0.2269
Al28 Al 0.7976 0.7541 0.1691
Al29 Al 0.2976 0.7459 0.3309
Al30 Al 0.0000 0.3171 0.9110
Al31 Al 0.7459 0.2976 0.6691
Al32 Al 0.7024 0.2541 0.3309
Al33 Al 0.6558 0.5000 0.1023
Al34 Al 0.5000 0.1829 0.5890
Al35 Al 0.5000 0.8171 0.5890
Al36 Al 0.6829 0.0000 0.0890
Fe1 Fe 0.7222 0.0000 0.2498
Fe2 Fe 0.2447 0.2447 0.0000
Fe3 Fe 0.5000 0.2222 0.7498
Fe4 Fe 0.2447 0.7553 0.0000
Fe5 Fe 0.0000 0.7222 0.7502
Fe6 Fe 0.0000 0.2778 0.7502
Fe7 Fe 0.2222 0.5000 0.2502
Fe8 Fe 0.7447 0.2553 0.5000
Fe9 Fe 0.7553 0.2447 0.0000
Fe10 Fe 0.2553 0.2553 0.5000
Fe11 Fe 0.2553 0.7447 0.5000
Fe12 Fe 0.5000 0.7778 0.7498
Fe13 Fe 0.7553 0.7553 0.0000
Fe14 Fe 0.7778 0.5000 0.2502
Fe15 Fe 0.7447 0.7447 0.5000
Fe16 Fe 0.2778 0.0000 0.2498
Si1 Si 0.7615 0.5000 0.9387
Si2 Si 0.7385 0.0000 0.5613
Si3 Si 0.1573 0.0000 0.9434
Si4 Si 0.3620 0.0000 0.7205
Si5 Si 0.1380 0.5000 0.7795
Si6 Si 0.5000 0.7615 0.0613
Si7 Si 0.6573 0.5000 0.5566
Si8 Si 0.6380 0.0000 0.7205
Si9 Si 0.8427 0.0000 0.9434
Si10 Si 0.0000 0.8427 0.0566
Si11 Si 0.8620 0.5000 0.7795
Si12 Si 0.5000 0.2385 0.0613
Si13 Si 0.0000 0.2615 0.4387
Si14 Si 0.0000 0.3620 0.2795
Si15 Si 0.5000 0.1380 0.2205
Si16 Si 0.3427 0.5000 0.5566
Si17 Si 0.0000 0.7385 0.4387
Si18 Si 0.0000 0.1573 0.0566
Si19 Si 0.5000 0.8620 0.2205
Si20 Si 0.2615 0.0000 0.5613
Si21 Si 0.0000 0.6380 0.2795
Si22 Si 0.5000 0.6573 0.4434
Si23 Si 0.5000 0.3427 0.4434
Si24 Si 0.2385 0.5000 0.9387
```

Computed properties:
Raw formation energy = -0.398 eV/atom
D(E_F) = 1.8 states/eV/f.u.
Final energy = -5.630 eV per atom



A plane-wave DFT calculation with PBE was carried out for a relaxed Sm2ErAl12Fe3 crystal.

Geometry as CIF:
```
data_Sm2ErAl12Fe3
_space_group_name_H-M_alt 'P 1'
_space_group_IT_number 1
_space_group_name_Hall 'P 1'
_cell_length_a 7.9037
_cell_length_b 7.9037
_cell_length_c 7.9037
_cell_angle_alpha 65.39
_cell_angle_beta 65.39
_cell_angle_gamma 65.39
loop_
_atom_site_label
_atom_site_type_symbol
_atom_site_fract_x
_atom_site_fract_y
_atom_site_fract_z
Sm1 Sm 0.5828 0.5828 0.5828
Sm2 Sm 0.4172 0.4172 0.4172
Er1 Er 0.0000 0.0000 0.0000
Al1 Al 0.2734 0.2734 0.9150
Al2 Al 0.8377 0.8377 0.4693
Al3 Al 0.4693 0.8377 0.8377
Al4 Al 0.9150 0.2734 0.2734
Al5 Al 0.8377 0.4693 0.8377
Al6 Al 0.2734 0.9150 0.2734
Al7 Al 0.7266 0.7266 0.0850
Al8 Al 0.1623 0.1623 0.5307
Al9 Al 0.5307 0.1623 0.1623
Al10 Al 0.0850 0.7266 0.7266
Al11 Al 0.1623 0.5307 0.1623
Al12 Al 0.7266 0.0850 0.7266
Fe1 Fe 0.5000 0.0000 0.0000
Fe2 Fe 0.0000 0.5000 0.0000
Fe3 Fe 0.0000 0.0000 0.5000
```

Computed properties:
D(E_F) = 14.0 states/eV/f.u.
ΔH_f (0 K) = 0.15 eV per atom
Final energy = -4.534 eV per atom